(1)
The following is a GGA-PBE calculation of CaYS2 after structural relaxation, from Alexandria via LeMat-Bulk.

Computed properties:
symmetry: Fm-3m, No. 225
E: -5.8075 eV per atom

Cell: 4.870 4.870 4.870 Å, 60.00 60.00 60.00°
Fractional positions:
Ca1 0.000 0.000 0.000
Y1 0.500 0.500 0.500
S1 0.250 0.250 0.250
S2 0.750 0.750 0.750


(2)
The following is a GGA-PBE calculation of CaY3S after structural relaxation, from Alexandria via LeMat-Bulk.

Computed properties:
symmetry: Pm-3m, No. 221
E: -5.7727 eV per atom

Cell: 5.370 5.370 5.370 Å, 90.00 90.00 90.00°
Fractional positions:
Ca1 0.000 0.000 0.000
Y1 0.000 0.500 0.500
Y2 0.500 0.000 0.500
Y3 0.500 0.500 0.000
S1 0.500 0.500 0.500


Computed D(E_F) (states/eV/f.u.) in order:
2.999, 8.586
Computed energy above the most stable polymorph in this dataset (meV/atom) in order:
433, 0
Computed formation energy without anion corrections (eV/atom) in order:
-1.63, -0.67